Record 1
The following is a DFT calculation (PBE) of an optimized crystal structure of Y3Ta.

Properties
Total DFT energy (no corrections) ... -7.484 eV per atom
Offset from the most stable computed form ... 22 kJ/mol of formula units

a b c (Å): 3.395 3.395 11.072
angles (deg): 90.00 90.00 120.00
Atoms (fractional coordinates):
Y 0.333 0.667 0.774
Y 0.333 0.667 0.226
Y 0.000 0.000 0.500
Ta 0.000 0.000 0.000



Record 2
The following is a DFT calculation (PBE) of an optimized crystal structure of HfGe2TePb.

Properties
Total DFT energy (no corrections) ... -3.908 eV per atom

a b c (Å): 5.240 5.779 5.240
angles (deg): 90.00 90.00 90.00
Atoms (fractional coordinates):
Ge 0.500 0.000 0.000
Ge 0.000 0.000 0.500
Te 0.000 0.500 0.000
Hf 0.500 0.500 0.500
Pb 0.000 0.000 0.000